# 1
Below is a relaxed structure of Tb5Pr4Ho4, with properties calculated at the PBE level.

```
Tb5Pr4Ho4
1.0
4.9188 0.0000 1.2506
2.4594 9.1835 0.6253
0.1965 0.0000 9.5256
Tb Ho Pr
5 4 4
Direct
0.4604 0.2288 0.8505
0.0000 0.0000 0.0000
0.6891 0.8505 0.7712
0.5396 0.7712 0.1495
0.3109 0.1495 0.2288
0.7705 0.3827 0.0762
0.1532 0.0762 0.6173
0.8468 0.9238 0.3827
0.2295 0.6173 0.9238
0.3816 0.6970 0.5398
0.6184 0.3030 0.4602
0.9214 0.4602 0.6970
0.0786 0.5398 0.3030
```

Values from the calculation:
Total moment: 0.0 μB per formula unit
Space group: I4/m, No. 87
Calculated total energy: -4.640 eV/atom
E_form: 0.020 eV per atom

---

# 2
Below is a relaxed structure of Tb3Pr8Ho4, with properties calculated at the PBE level.

```
Tb3Pr8Ho4
1.0
6.2172 0.0000 3.3531
2.2044 5.8132 3.3531
-2.6093 -1.8011 12.2785
Tb Ho Pr
3 4 8
Direct
0.0000 0.0000 0.5000
0.5000 0.0000 0.5000
0.0000 0.5000 0.5000
0.5000 0.5000 0.5000
0.0000 0.0000 0.0000
0.6646 0.6646 0.0061
0.3354 0.3354 0.9939
0.2488 0.7507 0.2499
0.7541 0.7541 0.7378
0.2459 0.2459 0.2622
0.2493 0.2493 0.7501
0.2493 0.7512 0.7501
0.7507 0.7507 0.2499
0.7507 0.2488 0.2499
0.7512 0.2493 0.7501
```

Values from the calculation:
Total moment: 0.0 μB per formula unit
Space group: R-3m, No. 166
E above lowest polymorph: 0 meV/atom
Calculated total energy: -4.534 eV/atom
E_form: 0.162 eV per atom

---

# 3
Below is a relaxed structure of Tb4PrHo4, with properties calculated at the PBE level.

```
Tb4PrHo4
1.0
5.0227 0.0000 0.0000
2.5113 7.5606 0.0000
2.5113 0.0000 7.5606
Ho Tb Pr
4 4 1
Direct
0.3323 0.3353 0.0002
0.6677 0.6647 0.9998
0.6676 0.0002 0.6647
0.3324 0.9998 0.3353
0.3338 0.6660 0.6663
0.6662 0.3340 0.3337
0.0001 0.3337 0.6660
0.9999 0.6663 0.3340
0.0000 0.0000 0.0000
```

Values from the calculation:
Total moment: 0.0 μB per formula unit
Space group: I4/mmm, No. 139
E above lowest polymorph: 19 meV/atom
Calculated total energy: -4.604 eV/atom
E_form: 0.019 eV per atom

---

# 4
Below is a relaxed structure of Tb2PrHo3, with properties calculated at the PBE level.

```
Tb2PrHo3
1.0
11.5490 0.0000 0.0000
0.0000 6.2007 -0.2888
0.0000 -2.8530 5.5129
Ho Pr Tb
6 2 4
Direct
0.4697 0.4998 0.4998
0.9697 0.5002 0.5002
0.9696 0.8324 0.1678
0.4696 0.8322 0.1676
0.9696 0.1678 0.8324
0.4696 0.1676 0.8322
0.7197 0.8345 0.8345
0.2197 0.1655 0.1655
0.7196 0.1669 0.4998
0.2196 0.5002 0.8331
0.2196 0.8331 0.5002
0.7196 0.4998 0.1669
```

Values from the calculation:
Total moment: 0.0 μB per formula unit
Space group: Cmcm, No. 63
E above lowest polymorph: 0 meV/atom
Calculated total energy: -4.615 eV/atom
E_form: 0.014 eV per atom

---

# 5
Below is a relaxed structure of Tb14PrHo, with properties calculated at the PBE level.

```
Tb14PrHo
1.0
-1.4021 -3.5323 6.0722
6.3868 3.1027 -0.9467
-4.0223 9.7220 4.7266
Pr Tb Ho
1 14 1
Direct
0.7083 0.2917 0.5000
0.0422 0.4585 0.0000
0.5416 0.4584 0.0000
0.5415 0.9578 0.0000
0.8754 0.6256 0.2487
0.3744 0.1246 0.7513
0.7084 0.7920 0.5000
0.2080 0.2916 0.5000
0.3749 0.6251 0.7496
0.0419 0.9581 0.0000
0.8753 0.1247 0.7519
0.8753 0.1247 0.2481
0.8754 0.6256 0.7513
0.3744 0.1246 0.2487
0.3749 0.6251 0.2504
0.2082 0.7918 0.5000
```

Values from the calculation:
Total moment: 0.0 μB per formula unit
Space group: Amm2, No. 38
Calculated total energy: -4.635 eV/atom
E_form: 0.002 eV per atom

---

# 6
Below is a relaxed structure of Tb2Pr3Ho, with properties calculated at the PBE level.

```
Tb2Pr3Ho
1.0
-4.8146 -4.9429 9.4331
1.1643 -5.7316 -2.4091
4.3040 2.8234 3.6762
Ho Pr Tb
2 6 4
Direct
0.7197 0.8336 0.8336
0.2197 0.1664 0.1664
0.9697 0.1667 0.8342
0.4697 0.1658 0.8333
0.9697 0.5005 0.5005
0.4697 0.4995 0.4995
0.9697 0.8342 0.1667
0.4697 0.8333 0.1658
0.7196 0.5006 0.1671
0.7196 0.1671 0.5006
0.2196 0.4994 0.8329
0.2196 0.8329 0.4994
```

Values from the calculation:
Total moment: 0.0 μB per formula unit
Space group: Cmcm, No. 63
E above lowest polymorph: 0 meV/atom
Calculated total energy: -4.700 eV/atom
E_form: -0.004 eV per atom

---

# 7
Below is a relaxed structure of Tb2Pr12Ho, with properties calculated at the PBE level.

```
Tb2Pr12Ho
1.0
6.7187 1.5833 0.0000
1.5833 6.7187 0.0000
0.0000 0.0000 25.2177
Pr Tb Ho
24 4 2
Direct
0.2519 0.7519 0.9271
0.0000 0.0000 0.8017
0.7249 0.2249 0.4399
0.2707 0.2293 0.5847
0.5000 0.5000 0.3244
0.7293 0.7707 0.5847
0.5000 0.5000 0.6756
0.2481 0.7481 0.0729
0.0000 0.0000 0.3244
0.7751 0.2751 0.5601
0.0000 0.0000 0.1983
0.2249 0.7249 0.5601
0.7517 0.7483 0.8705
0.5000 0.5000 0.1983
0.0000 0.0000 0.6756
0.7483 0.7517 0.1295
0.7519 0.2519 0.0729
0.7707 0.7293 0.4153
0.2751 0.7751 0.4399
0.2483 0.2517 0.8705
0.2293 0.2707 0.4153
0.5000 0.5000 0.8017
0.7481 0.2481 0.9271
0.2517 0.2483 0.1295
0.5000 0.0000 0.7330
0.0000 0.5000 0.7286
0.0000 0.5000 0.2670
0.5000 0.0000 0.2714
0.5000 0.0000 0.0008
0.0000 0.5000 0.9992
```

Values from the calculation:
Total moment: 0.0 μB per formula unit
Space group: Cmme, No. 67
Calculated total energy: -4.593 eV/atom
E_form: 0.153 eV per atom

---

# 8
Below is a relaxed structure of Tb4PrHo6, with properties calculated at the PBE level.

```
Tb4PrHo6
1.0
5.7087 0.0000 0.0000
-2.8544 4.8117 0.0000
0.0000 0.0000 25.6795
Ho Tb Pr
12 8 2
Direct
0.5000 0.0000 0.5000
0.8555 0.7110 0.8194
0.1445 0.2890 0.3194
0.8555 0.7110 0.6806
0.8117 0.6233 0.1021
0.1883 0.3767 0.8979
0.5190 0.0380 0.7500
0.8117 0.6233 0.3979
0.5000 0.0000 0.0000
0.1883 0.3767 0.6021
0.4810 0.9620 0.2500
0.1445 0.2890 0.1806
0.4724 0.9448 0.3788
0.8421 0.6842 0.5421
0.4724 0.9448 0.1212
0.1579 0.3158 0.4579
0.8421 0.6842 0.9579
0.5276 0.0552 0.8788
0.1579 0.3158 0.0421
0.5276 0.0552 0.6212
0.8154 0.6309 0.2500
0.1846 0.3691 0.7500
```

Values from the calculation:
Total moment: 0.0 μB per formula unit
Space group: Cmcm, No. 63
E above lowest polymorph: 0 meV/atom
Calculated total energy: -4.494 eV/atom
E_form: 0.121 eV per atom

---

# 9
Below is a relaxed structure of Tb7PrHo4, with properties calculated at the PBE level.

```
Tb7PrHo4
1.0
-1.0296 -5.4704 1.9544
-0.1235 -6.5473 -9.4867
5.4175 -3.6721 1.4798
Ho Tb Pr
4 7 1
Direct
0.3672 0.7749 0.4907
0.6328 0.2251 0.5093
0.7500 0.6832 0.8169
0.2500 0.3168 0.1831
0.2104 0.0786 0.5006
0.0593 0.6699 0.2116
0.9407 0.3301 0.7884
0.6328 0.4967 0.2378
0.7896 0.9214 0.4994
0.3672 0.5033 0.7622
0.5000 0.0000 0.0000
0.0000 0.0000 0.0000
```

Values from the calculation:
Total moment: 0.0 μB per formula unit
Space group: C2/m, No. 12
E above lowest polymorph: 270 meV/atom
Calculated total energy: -4.357 eV/atom
E_form: 0.269 eV per atom

---

# 10
Below is a relaxed structure of Tb8Pr6Ho, with properties calculated at the PBE level.

```
Tb8Pr6Ho
1.0
3.2281 8.9668 -3.0467
-9.4885 -1.1626 2.9535
1.5684 1.3246 5.5603
Pr Tb Ho
6 8 1
Direct
0.7208 0.9462 0.2279
0.2792 0.0538 0.7721
0.0538 0.7747 0.2279
0.2253 0.2792 0.2279
0.9462 0.2253 0.7721
0.7747 0.7208 0.7721
0.9074 0.3799 0.2571
0.5275 0.9074 0.7429
0.3799 0.4725 0.7429
0.6667 0.3333 0.7742
0.3333 0.6667 0.2258
0.0926 0.6201 0.7429
0.4725 0.0926 0.2571
0.6201 0.5275 0.2571
0.0000 0.0000 0.5000
```

Values from the calculation:
Total moment: 0.0 μB per formula unit
Space group: P-3, No. 147
E above lowest polymorph: 65 meV/atom
Calculated total energy: -4.506 eV/atom
E_form: 0.181 eV per atom

---

# 11
Below is a relaxed structure of Tb7PrHo3, with properties calculated at the PBE level.

```
Tb7PrHo3
1.0
-3.0658 3.0825 -3.4724
-6.6247 -7.3132 -0.6445
1.3752 1.1673 8.7383
Ho Tb Pr
3 7 1
Direct
0.7227 0.0028 0.2226
0.2773 0.9972 0.7774
0.0000 0.5000 0.0000
0.3267 0.6431 0.8266
0.9235 0.8317 0.9235
0.0765 0.1683 0.0765
0.1465 0.2899 0.6464
0.6733 0.3569 0.1734
0.8535 0.7101 0.3536
0.5000 0.0000 0.5000
0.5000 0.5000 0.5000
```

Values from the calculation:
Total moment: 0.0 μB per formula unit
Space group: P2/m, No. 10
E above lowest polymorph: 0 meV/atom
Calculated total energy: -4.492 eV/atom
E_form: 0.138 eV per atom

---

# 12
Below is a relaxed structure of Tb3Pr2Ho9, with properties calculated at the PBE level.

```
Tb3Pr2Ho9
1.0
-2.2920 1.4371 -5.5235
1.5576 -8.3610 -11.9539
-4.5689 -7.6005 -6.9249
Ho Tb Pr
9 3 2
Direct
0.3905 0.3572 0.9668
0.9642 0.5003 0.5355
0.4645 0.9999 0.5355
0.6759 0.9294 0.2517
0.0318 0.1440 0.1079
0.5382 0.6427 0.1046
0.8968 0.8558 0.9638
0.1818 0.4289 0.2482
0.7471 0.5713 0.8227
0.1057 0.7860 0.6798
0.2522 0.0704 0.8201
0.8234 0.2139 0.3915
0.3209 0.7151 0.3928
0.6071 0.2850 0.6792
```

Values from the calculation:
Total moment: 0.0 μB per formula unit
Space group: P1, No. 1
Calculated total energy: -4.598 eV/atom
E_form: 0.020 eV per atom

---

# 13
Below is a relaxed structure of Tb9Pr2Ho, with properties calculated at the PBE level.

```
Tb9Pr2Ho
1.0
-0.8990 -4.9839 0.1732
4.8683 -0.8389 1.1286
-3.2441 1.1000 14.8114
Tb Ho Pr
9 1 2
Direct
0.5000 0.5000 0.0000
0.0000 0.5000 0.1640
0.5000 0.0000 0.8360
0.5000 0.5000 0.3318
0.5000 0.0000 0.1640
0.5000 0.5000 0.6682
0.0000 0.5000 0.8360
0.5000 0.0000 0.5000
0.0000 0.5000 0.5000
0.0000 0.0000 0.0000
0.0000 0.0000 0.3324
0.0000 0.0000 0.6676
```

Values from the calculation:
Total moment: 0.0 μB per formula unit
Space group: P4/mmm, No. 123
E above lowest polymorph: 0 meV/atom
Calculated total energy: -4.630 eV/atom
E_form: 0.021 eV per atom

---

# 14
Below is a relaxed structure of Tb2Pr5Ho2, with properties calculated at the PBE level.

```
Tb2Pr5Ho2
1.0
-7.6752 -2.0713 -1.7432
9.2791 -2.5755 0.2095
-7.0149 -1.6718 6.3656
Tb Ho Pr
2 2 5
Direct
0.4444 0.8916 0.7827
0.5556 0.1084 0.2173
0.7831 0.5541 0.1086
0.2169 0.4459 0.8914
0.1133 0.2228 0.4456
0.8867 0.7772 0.5544
0.0000 0.0000 0.0000
0.6649 0.3336 0.6678
0.3351 0.6664 0.3322
```

Values from the calculation:
Total moment: 0.0 μB per formula unit
Space group: C2/m, No. 12
E above lowest polymorph: 0 meV/atom
Calculated total energy: -4.683 eV/atom
E_form: 0.019 eV per atom

---

# 15
Below is a relaxed structure of TbPr4Ho5, with properties calculated at the PBE level.

```
TbPr4Ho5
1.0
-2.4556 0.7324 2.4423
7.0531 -3.5620 8.1589
4.3603 7.6075 -0.4603
Ho Pr Tb
5 4 1
Direct
0.8272 0.0488 0.6533
0.1724 0.5478 0.3459
0.8276 0.4522 0.6541
0.5000 0.5000 0.0000
0.1728 0.9512 0.3467
0.3425 0.7500 0.6821
0.6575 0.2500 0.3179
0.0332 0.7495 0.0654
0.9668 0.2505 0.9346
0.5000 0.0000 0.0000
```

Values from the calculation:
Total moment: 0.0 μB per formula unit
Space group: P-1, No. 2
E above lowest polymorph: 171 meV/atom
Calculated total energy: -4.473 eV/atom
E_form: 0.191 eV per atom

---

# 16
Below is a relaxed structure of TbPr4Ho4, with properties calculated at the PBE level.

```
TbPr4Ho4
1.0
5.5244 -0.0001 1.3056
2.0307 7.9592 3.7469
0.9321 3.1104 8.3943
Ho Pr Tb
4 4 1
Direct
0.0710 0.2322 0.6258
0.3789 0.5753 0.6669
0.6211 0.4247 0.3331
0.9290 0.7678 0.3742
0.2805 0.1548 0.2843
0.7195 0.8452 0.7157
0.8667 0.3097 0.9569
0.1333 0.6903 0.0431
0.5000 0.0000 0.0000
```

Values from the calculation:
Total moment: 0.0 μB per formula unit
Space group: C2/m, No. 12
E above lowest polymorph: 85 meV/atom
Calculated total energy: -4.568 eV/atom
E_form: 0.106 eV per atom

---

# 17
Below is a relaxed structure of Tb2Pr4Ho3, with properties calculated at the PBE level.

```
Tb2Pr4Ho3
1.0
-3.3813 2.5032 -5.7696
-6.4542 -3.4553 4.4598
-0.7736 6.2483 9.7229
Pr Tb Ho
8 4 6
Direct
0.0794 0.1634 0.0560
0.4898 0.4752 0.1650
0.9206 0.8366 0.9440
0.4063 0.8280 0.2642
0.5102 0.5248 0.8350
0.1652 0.8353 0.6090
0.5937 0.1720 0.7358
0.8348 0.1647 0.3910
0.6673 0.8342 0.6085
0.0114 0.5240 0.8368
0.9886 0.4760 0.1632
0.3327 0.1658 0.3915
0.5810 0.1637 0.0557
0.7521 0.4996 0.5019
0.2479 0.5004 0.4981
0.8995 0.8247 0.2611
0.4190 0.8363 0.9443
0.1005 0.1753 0.7389
```

Values from the calculation:
Total moment: 0.0 μB per formula unit
Space group: P-1, No. 2
E above lowest polymorph: 0 meV/atom
Calculated total energy: -4.635 eV/atom
E_form: 0.045 eV per atom

---

# 18
Below is a relaxed structure of Tb4Pr3Ho2, with properties calculated at the PBE level.

```
Tb4Pr3Ho2
1.0
-0.4104 4.8218 3.9243
-4.0554 -0.5303 -4.7110
1.8717 -10.2338 7.7780
Pr Ho Tb
3 2 4
Direct
0.4457 0.8905 0.3337
0.5543 0.1095 0.6663
0.0000 0.0000 0.0000
0.2211 0.4427 0.6661
0.7789 0.5573 0.3339
0.3356 0.6685 0.0002
0.6644 0.3315 0.9998
0.1099 0.2201 0.3333
0.8901 0.7799 0.6667
```

Values from the calculation:
Total moment: 0.0 μB per formula unit
Space group: P-1, No. 2
E above lowest polymorph: 0 meV/atom
Calculated total energy: -4.650 eV/atom
E_form: 0.018 eV per atom

---

# 19
Below is a relaxed structure of Tb3Pr7Ho, with properties calculated at the PBE level.

```
Tb3Pr7Ho
1.0
9.8766 -2.4858 2.1765
-5.7307 8.4107 -2.1740
2.4849 -1.7482 12.3676
Pr Tb Ho
14 6 2
Direct
0.4193 0.0843 0.4723
0.4188 0.0888 0.9763
0.0885 0.4187 0.5238
0.9114 0.5814 0.4763
0.5813 0.9114 0.0238
0.9155 0.5805 0.9722
0.8368 0.1537 0.7727
0.5806 0.9155 0.5277
0.2907 0.2907 0.7500
0.7091 0.7091 0.2499
0.1632 0.8461 0.2272
0.0846 0.4196 0.0277
0.8445 0.1620 0.2729
0.1553 0.8379 0.7273
0.6688 0.3275 0.7268
0.3263 0.6678 0.7732
0.3311 0.6722 0.2731
0.0001 0.0001 0.4998
0.0002 0.0003 0.0001
0.6737 0.3322 0.2269
0.5000 0.5001 0.5000
0.5003 0.5002 0.9998
```

Values from the calculation:
Total moment: 0.0 μB per formula unit
Space group: P-1, No. 2
E above lowest polymorph: 0 meV/atom
Calculated total energy: -4.538 eV/atom
E_form: 0.183 eV per atom